(1)
Computed, not measured: a geometry-optimized KRbTlCd2 structure at the GGA-PBE level of DFT.

ΔE_f = 68.6 meV per atom

a b c (Å): 5.8733 5.8733 6.5814
angles (deg): 90.00 90.00 90.00
With the nearest neighbours (Å) after each atom.
Space group P4/mmm (No. 123)
Symmetry-distinct sites (fractional):
K 0.0000 0.0000 0.0000 [1 per cell]  2 Tl 3.29
Rb 0.5000 0.5000 0.0000 [1 per cell]  4 K 4.15, 8 Cd 4.41
Tl 0.0000 0.0000 0.5000 [1 per cell]  4 Cd 2.94
Cd 0.0000 0.5000 0.5000 [2 per cell]  2 Tl 2.94

(2)
Computed, not measured: a geometry-optimized Sr3Be structure at the GGA-PBE level of DFT.

ΔE_f = 359.5 meV per atom
E above lowest polymorph = 84.3 meV/atom

a b c (Å): 4.3240 4.3240 33.2515
angles (deg): 90.00 90.00 120.00
With the nearest neighbours (Å) after each atom.
Space group R-3m (No. 166, hexagonal axes)
Symmetry-distinct sites (fractional):
Sr 0.0000 0.0000 0.0000 [3 per cell]  12 Sr 4.32-4.43
Sr 0.0000 0.0000 0.2233 [6 per cell]  3 Be 3.13
Be 0.0000 0.0000 0.5000 [3 per cell]  6 Sr 3.13

(3)
Computed, not measured: a geometry-optimized PaGaBr5 structure at the GGA-PBE level of DFT.

Raw formation energy = -1.16 eV/atom

a b c (Å): 12.7066 9.1770 11.0160
angles (deg): 90.00 115.89 90.00
With the nearest neighbours (Å) after each atom.
Space group C2/c (No. 15)
Symmetry-distinct sites (fractional):
Pa 0.0000 0.0000 0.0000 [4 per cell]  6 Br 2.75-2.92
Ga 0.0000 0.5000 0.2500 [4 per cell]  4 Br 2.95-3.15
Br 0.0000 0.1052 0.2500 [4 per cell]  2 Pa 2.92
Br 0.0643 0.2841 0.9691 [8 per cell]  1 Pa 2.80, 1 Ga 2.95
Br 0.2319 0.0757 0.6393 [8 per cell]  1 Pa 2.75

(4)
Computed, not measured: a geometry-optimized Zr2Al2Ni structure at the GGA-PBE level of DFT.

ΔE_f = -33.2 meV per atom
E above lowest polymorph = 466.4 meV/atom

a b c (Å): 5.0266 5.0266 7.7191
angles (deg): 90.00 90.00 90.00
With the nearest neighbours (Å) after each atom.
Space group P4/nmm (No. 129, origin choice 2)
Symmetry-distinct sites (fractional):
Zr 0.2500 0.2500 0.1796 [2 per cell]  1 Ni 2.52
Zr 0.2500 0.7500 0.5000 [2 per cell]  4 Ni 2.51
Al 0.2500 0.2500 0.8066 [2 per cell]  1 Ni 2.32
Al 0.2500 0.7500 0.0000 [2 per cell]  4 Zr 2.87, 4 Al 2.92
Ni 0.2500 0.2500 0.5065 [2 per cell]  1 Al 2.32, 5 Zr 2.51-2.52

(5)
Computed, not measured: a geometry-optimized CdTc2Se structure at the GGA-PBE level of DFT.

Raw formation energy = 0.69 eV/atom
E above lowest polymorph = 594.3 meV/atom

a b c (Å): 3.1778 4.6122 4.6270
angles (deg): 90.00 90.00 90.00
With the nearest neighbours (Å) after each atom.
Space group Pmmm (No. 47)
Symmetry-distinct sites (fractional):
Cd 0.0000 0.0000 0.0000 [1 per cell]  4 Se 2.80, 4 Tc 2.81
Tc 0.0000 0.5000 0.5000 [1 per cell]  4 Tc 2.80, 4 Se 2.81
Tc 0.5000 0.0000 0.5000 [1 per cell]  4 Tc 2.80, 4 Cd 2.81
Se 0.5000 0.5000 0.0000 [1 per cell]  4 Cd 2.80, 4 Tc 2.81

(6)
Computed, not measured: a geometry-optimized AcPmNdSm structure at the GGA-PBE level of DFT.

ΔE_f = 143.5 meV per atom
E above lowest polymorph = 106.0 meV/atom

a b c (Å): 8.4023 8.4023 8.4023
angles (deg): 90.00 90.00 90.00
With the nearest neighbours (Å) after each atom.
Space group F-43m (No. 216)
Symmetry-distinct sites (fractional):
Ac 0.0000 0.0000 0.0000 [4 per cell]  4 Nd 3.64, 4 Sm 3.64
Pm 0.0000 0.0000 0.5000 [4 per cell]  4 Nd 3.64, 4 Sm 3.64
Nd 0.2500 0.2500 0.7500 [4 per cell]  4 Ac 3.64, 4 Pm 3.64
Sm 0.2500 0.2500 0.2500 [4 per cell]  4 Ac 3.64, 4 Pm 3.64

(7)
Computed, not measured: a geometry-optimized NaSrTiHg2 structure at the GGA-PBE level of DFT.

ΔE_f = 818.5 meV per atom

a b c (Å): 5.2270 5.2270 5.3960
angles (deg): 90.00 90.00 90.00
With the nearest neighbours (Å) after each atom.
Space group P4/mmm (No. 123)
Symmetry-distinct sites (fractional):
Na 0.0000 0.0000 0.0000 [1 per cell]  4 Hg 2.61, 2 Sr 2.70
Sr 0.0000 0.0000 0.5000 [1 per cell]  2 Na 2.70
Ti 0.5000 0.5000 0.5000 [1 per cell]  4 Sr 3.70, 8 Hg 3.76
Hg 0.0000 0.5000 0.0000 [2 per cell]  2 Na 2.61

(8)
Computed, not measured: a geometry-optimized Nb2Al2Sn structure at the GGA-PBE level of DFT.

ΔE_f = -49.5 meV per atom
E above lowest polymorph = 4.2 meV/atom

a b c (Å): 7.1809 7.1809 3.7472
angles (deg): 90.00 90.00 90.00
With the nearest neighbours (Å) after each atom.
Space group P4/mbm (No. 127)
Symmetry-distinct sites (fractional):
Nb 0.1346 0.3654 0.0000 [4 per cell]  1 Nb 2.73, 2 Sn 2.80, 6 Al 2.81-2.83
Al 0.1588 0.6588 0.5000 [4 per cell]  6 Nb 2.81-2.83
Sn 0.0000 0.0000 0.0000 [2 per cell]  4 Nb 2.80